DFT (PBE) results for Hf2ZrTc2 after structural relaxation.

Cell lengths 3.2817, 18.5728, 3.2530 Å; angles 90.00, 90.00, 90.00 degrees
With the nearest neighbours (Å) after each atom.
Space group Cmmm (No. 65)
Inequivalent atoms, fractional coordinates:
Hf 0.0000 0.1721 0.0000  4 Tc 2.74
Zr 0.0000 0.0000 0.0000  8 Tc 2.88, 2 Hf 3.20
Tc 0.0000 0.4070 0.5000  4 Hf 2.74, 4 Zr 2.88

Output
**Relative energy among the computed polymorphs**: 0.00 kJ/mol of atoms



DFT (PBE) results for Hf3ZrTc4 after structural relaxation.

Cell lengths 3.2606, 4.6332, 9.2688 Å; angles 90.00, 90.00, 90.00 degrees
With the nearest neighbours (Å) after each atom.
Space group Pmmm (No. 47)
Inequivalent atoms, fractional coordinates:
Hf 0.0000 0.0000 0.0000  8 Tc 2.82-2.83
Hf 0.0000 0.5000 0.2483  8 Tc 2.82-2.85
Zr 0.0000 0.0000 0.5000  8 Tc 2.83-2.84
Tc 0.5000 0.0000 0.2485  6 Hf 2.82-2.83, 2 Zr 2.84
Tc 0.5000 0.5000 0.0000  8 Hf 2.82-2.83
Tc 0.5000 0.5000 0.5000  4 Zr 2.83, 4 Hf 2.85



DFT (PBE) results for HfZr2Tc after structural relaxation.

Cell lengths 3.2173, 3.2173, 27.7693 Å; angles 90.00, 90.00, 120.00 degrees
With the nearest neighbours (Å) after each atom.
Space group R-3m (No. 166, hexagonal axes)
Inequivalent atoms, fractional coordinates:
Hf 0.0000 0.0000 0.0000  6 Zr 3.19, 6 Hf 3.22
Zr 0.0000 0.0000 0.2399  3 Tc 2.75
Tc 0.0000 0.0000 0.5000  6 Zr 2.75

Output
**Relative energy among the computed polymorphs**: 19.30 kJ/mol of atoms



DFT (PBE) results for Hf2ZrTc after structural relaxation.

Cell lengths 6.7847, 6.7847, 6.7847 Å; angles 90.00, 90.00, 90.00 degrees
With the nearest neighbours (Å) after each atom.
Space group Fm-3m (No. 225)
Inequivalent atoms, fractional coordinates:
Hf 0.2500 0.2500 0.2500  4 Zr 2.94, 4 Tc 2.94
Zr 0.0000 0.0000 0.0000  8 Hf 2.94
Tc 0.0000 0.0000 0.5000  8 Hf 2.94

Output
**Relative energy among the computed polymorphs**: 19.73 kJ/mol of atoms



DFT (PBE) results for Hf3ZrTc after structural relaxation.

Cell lengths 5.7590, 8.8892, 8.3334 Å; angles 90.00, 90.00, 90.00 degrees
With the nearest neighbours (Å) after each atom.
Space group Pnma (No. 62)
Inequivalent atoms, fractional coordinates:
Hf 0.1013 0.0530 0.1685  2 Tc 2.73-2.86, 1 Hf 3.04
Hf 0.2345 0.2500 0.4881  2 Tc 2.60
Zr 0.2233 0.2500 0.8566  2 Tc 2.98, 9 Hf 3.07-3.29
Tc 0.0000 0.0000 0.5000  6 Hf 2.60-2.86

Output
**Relative energy among the computed polymorphs**: 0.00 kJ/mol of atoms



DFT (PBE) results for Hf2ZrTc after structural relaxation.

Cell lengths 7.6144, 7.6144, 5.9159 Å; angles 90.00, 90.00, 90.00 degrees
With the nearest neighbours (Å) after each atom.
Space group I-42d (No. 122)
Inequivalent atoms, fractional coordinates:
Hf 0.2049 0.2500 0.1250  2 Tc 2.57
Zr 0.0000 0.0000 0.5000  2 Tc 2.96, 4 Hf 3.04
Tc 0.0000 0.0000 0.0000  4 Hf 2.57

Output
**Relative energy among the computed polymorphs**: 50.90 kJ/mol of atoms



| no. | energy of formation from the pure elements (eV/f.u.) |
| --- | --- |
| 1 | -1.1 |
| 2 | -3.6 |
| 3 | 0.1 |
| 4 | -0.2 |
| 5 | -0.4 |
| 6 | 1.1 |